Record 1
A plane-wave DFT calculation with PBE was carried out for a relaxed Ca3ScN3 crystal.

Output
DOS at the Fermi energy: 0.36 states/eV per cell
density: 2.77 Mg/m³
VASP energy: -6.20 eV/atom
V: 17.77 Å³ per atom
symmetry: P6_3/m, No. 176
total moment: 0.000 μB per atom
energy relative to the elements, uncorrected: -0.87 eV/atom

a b c (Å): 7.5579 7.5579 5.0284
angles (deg): 90.00 90.00 120.00
Positions (direct):
Ca: 0.2644 0.9336 0.7500
N: 0.0820 0.3764 0.2500
N: 0.3764 0.2944 0.7500
Ca: 0.6691 0.7356 0.7500
N: 0.2944 0.9180 0.2500
Ca: 0.7356 0.0664 0.2500
Sc: 0.3333 0.6667 0.2500
Ca: 0.9336 0.6691 0.2500
Ca: 0.3309 0.2644 0.2500
N: 0.6236 0.7056 0.2500
N: 0.7056 0.0820 0.7500
Ca: 0.0664 0.3309 0.7500
N: 0.9180 0.6236 0.7500
Sc: 0.6667 0.3333 0.7500

***

Record 2
A plane-wave DFT calculation with PBE was carried out for a relaxed CaScN2 crystal.

Output
DOS at the Fermi energy: 3.18 states/eV per cell
density: 3.88 Mg/m³
VASP energy: -6.66 eV/atom
V: 12.11 Å³ per atom
symmetry: Fm-3m, No. 225
total moment: 0.062 μB per atom
energy relative to the elements, uncorrected: -0.42 eV/atom

a b c (Å): 4.0913 4.0913 4.0913
angles (deg): 60.00 60.00 60.00
Positions (direct):
N: 0.2500 0.2500 0.2500
Sc: 0.5000 0.5000 0.5000
N: 0.7500 0.7500 0.7500
Ca: 0.0000 0.0000 0.0000

***

Record 3
A plane-wave DFT calculation with PBE was carried out for a relaxed Ca3ScN crystal.

Output
DOS at the Fermi energy: 3.91 states/eV per cell
density: 2.31 Mg/m³
VASP energy: -4.28 eV/atom
V: 25.73 Å³ per atom
symmetry: Pm-3m, No. 221
total moment: 0.000 μB per atom
energy relative to the elements, uncorrected: -0.15 eV/atom

a b c (Å): 5.0483 5.0483 5.0483
angles (deg): 90.00 90.00 90.00
Positions (direct):
Ca: 0.0000 0.0000 0.5000
Sc: 0.5000 0.5000 0.5000
N: 0.0000 0.0000 0.0000
Ca: 0.0000 0.5000 0.0000
Ca: 0.5000 0.0000 0.0000

***

Record 4
A plane-wave DFT calculation with PBE was carried out for a relaxed Ca3ScN crystal.

Output
DOS at the Fermi energy: 5.30 states/eV per cell
density: 1.52 Mg/m³
VASP energy: -2.34 eV/atom
V: 39.03 Å³ per atom
symmetry: Pm-3m, No. 221
total moment: 0.803 μB per atom
energy relative to the elements, uncorrected: 1.79 eV/atom

a b c (Å): 5.8004 5.8004 5.8004
angles (deg): 90.00 90.00 90.00
Positions (direct):
N: 0.5000 0.5000 0.5000
Ca: 0.5000 0.0000 0.0000
Ca: 0.0000 0.5000 0.0000
Ca: 0.0000 0.0000 0.5000
Sc: 0.0000 0.0000 0.0000

***

Record 5
A plane-wave DFT calculation with PBE was carried out for a relaxed CaScN3 crystal.

Output
DOS at the Fermi energy: 4.59 states/eV per cell
density: 3.01 Mg/m³
VASP energy: -6.53 eV/atom
V: 14.00 Å³ per atom
symmetry: Pm-3m, No. 221
total moment: 0.339 μB per atom
energy relative to the elements, uncorrected: 0.13 eV/atom

a b c (Å): 4.1212 4.1212 4.1212
angles (deg): 90.00 90.00 90.00
Positions (direct):
Ca: 0.5000 0.5000 0.5000
N: 0.5000 0.0000 0.0000
N: 0.0000 0.0000 0.5000
Sc: 0.0000 0.0000 0.0000
N: 0.0000 0.5000 0.0000

***

Record 6
A plane-wave DFT calculation with PBE was carried out for a relaxed Ca3Sc2N4 crystal.

Output
DOS at the Fermi energy: 0.00 states/eV per cell
density: 3.09 Mg/m³
VASP energy: -6.94 eV/atom
V: 15.89 Å³ per atom
symmetry: C2/c, No. 15
total moment: 0.000 μB per atom
energy relative to the elements, uncorrected: -1.16 eV/atom

a b c (Å): 6.9090 6.9090 6.1792
angles (deg): 89.56 89.56 75.85
Positions (direct):
Sc: 0.8138 0.5652 0.1062
Sc: 0.5652 0.8138 0.6062
N: 0.2872 0.9536 0.4320
Ca: 0.7583 0.0165 0.9856
N: 0.7128 0.0464 0.5680
Ca: 0.9835 0.2417 0.5144
Ca: 0.2417 0.9835 0.0144
N: 0.0464 0.7128 0.0680
N: 0.4364 0.2690 0.0645
N: 0.5636 0.7310 0.9355
Ca: 0.6042 0.3958 0.7500
Sc: 0.1862 0.4348 0.8938
Sc: 0.4348 0.1862 0.3938
N: 0.2690 0.4364 0.5645
Ca: 0.3958 0.6042 0.2500
Ca: 0.0165 0.7583 0.4856
N: 0.7310 0.5636 0.4355
N: 0.9536 0.2872 0.9320

***

Record 7
A plane-wave DFT calculation with PBE was carried out for a relaxed Ca2ScN crystal.

Output
DOS at the Fermi energy: 3.31 states/eV per cell
density: 2.31 Mg/m³
VASP energy: -5.08 eV/atom
V: 25.00 Å³ per atom
symmetry: I-42d, No. 122
total moment: 0.000 μB per atom
energy relative to the elements, uncorrected: -0.41 eV/atom

a b c (Å): 9.7146 9.7146 7.1886
angles (deg): 47.49 47.49 90.00
Positions (direct):
Ca: 0.8750 0.7110 0.7500
Ca: 0.4610 0.1250 0.2500
N: 0.5000 0.5000 0.0000
Sc: 0.7500 0.2500 0.5000
N: 0.2500 0.7500 0.5000
Ca: 0.3750 0.5390 0.7500
Ca: 0.2890 0.6250 0.2500
Sc: 0.0000 0.0000 0.0000

***

Record 8
A plane-wave DFT calculation with PBE was carried out for a relaxed Ca2ScN crystal.

Output
DOS at the Fermi energy: 3.47 states/eV per cell
density: 2.33 Mg/m³
VASP energy: -5.01 eV/atom
V: 24.80 Å³ per atom
symmetry: R-3m, No. 166
total moment: 0.063 μB per atom
energy relative to the elements, uncorrected: -0.34 eV/atom

a b c (Å): 3.4623 3.4623 9.7622
angles (deg): 79.79 79.79 60.00
Positions (direct):
Ca: 0.8782 0.8782 0.3655
Sc: 0.0000 0.0000 0.0000
Ca: 0.1218 0.1218 0.6345
N: 0.5000 0.5000 0.5000

***

Record 9
A plane-wave DFT calculation with PBE was carried out for a relaxed CaScSeN2 crystal.

Output
DOS at the Fermi energy: 2.79 states/eV per cell
density: 3.33 Mg/m³
VASP energy: -5.99 eV/atom
V: 19.16 Å³ per atom
symmetry: P4/mmm, No. 123
total moment: 0.457 μB per atom
energy relative to the elements, uncorrected: -0.29 eV/atom

a b c (Å): 4.2294 4.2294 5.3553
angles (deg): 90.00 90.00 90.00
Positions (direct):
Ca: 0.5000 0.5000 0.5000
N: 0.5000 0.0000 0.0000
Se: 0.0000 0.0000 0.5000
N: 0.0000 0.5000 0.0000
Sc: 0.0000 0.0000 0.0000

***

Record 10
A plane-wave DFT calculation with PBE was carried out for a relaxed CaScSeN2 crystal.

Output
DOS at the Fermi energy: 4.04 states/eV per cell
density: 3.28 Mg/m³
VASP energy: -4.98 eV/atom
V: 19.43 Å³ per atom
symmetry: P4/mmm, No. 123
total moment: 0.224 μB per atom
energy relative to the elements, uncorrected: 0.71 eV/atom

a b c (Å): 4.2142 4.2142 5.4706
angles (deg): 90.00 90.00 90.00
Positions (direct):
N: 0.0000 0.5000 0.0000
Ca: 0.0000 0.0000 0.0000
N: 0.5000 0.0000 0.0000
Sc: 0.5000 0.5000 0.5000
Se: 0.0000 0.0000 0.5000

***

Record 11
A plane-wave DFT calculation with PBE was carried out for a relaxed CaScSeN2 crystal.

Output
DOS at the Fermi energy: 4.44 states/eV per cell
density: 3.37 Mg/m³
VASP energy: -4.61 eV/atom
V: 18.90 Å³ per atom
symmetry: P4/mmm, No. 123
total moment: 0.001 μB per atom
energy relative to the elements, uncorrected: 1.08 eV/atom

a b c (Å): 4.4829 4.7020 4.4829
angles (deg): 90.00 90.00 90.00
Positions (direct):
Ca: 0.5000 0.5000 0.5000
N: 0.5000 0.0000 0.0000
Sc: 0.0000 0.5000 0.0000
Se: 0.0000 0.0000 0.0000
N: 0.0000 0.0000 0.5000

***

Record 12
A plane-wave DFT calculation with PBE was carried out for a relaxed Ca2ScSnN crystal.

Output
DOS at the Fermi energy: 0.79 states/eV per cell
density: 4.02 Mg/m³
VASP energy: -5.51 eV/atom
V: 21.31 Å³ per atom
symmetry: P4/mmm, No. 123
total moment: 0.000 μB per atom
energy relative to the elements, uncorrected: -0.98 eV/atom

a b c (Å): 4.8717 4.8717 4.4902
angles (deg): 90.00 90.00 90.00
Positions (direct):
Ca: 0.5000 0.0000 0.0000
Sc: 0.0000 0.0000 0.5000
Sn: 0.5000 0.5000 0.5000
Ca: 0.0000 0.5000 0.0000
N: 0.0000 0.0000 0.0000

***

Record 13
A plane-wave DFT calculation with PBE was carried out for a relaxed Ca3ScTa3N8 crystal.

Output
DOS at the Fermi energy: 1.30 states/eV per cell
density: 6.98 Mg/m³
VASP energy: -8.86 eV/atom
V: 13.00 Å³ per atom
symmetry: R-3m, No. 166
total moment: 0.000 μB per atom
energy relative to the elements, uncorrected: -1.23 eV/atom

a b c (Å): 6.3366 6.3357 6.6970
angles (deg): 118.23 90.00 120.01
Positions (direct):
N: 0.7614 0.5227 0.3017
Ta: 0.5000 0.5000 0.5000
Ca: 0.0000 0.5000 0.0000
N: 0.2387 0.9598 0.6984
Ta: 0.0000 0.5000 0.5000
N: 0.7211 0.9598 0.6984
Sc: 0.0000 0.0000 0.5000
Ca: 0.0000 0.0000 0.0000
Ta: 0.5000 0.0000 0.5000
Ca: 0.5000 0.5000 0.0000
N: 0.7613 0.0402 0.3016
N: 0.2619 0.5239 0.2858
N: 0.2386 0.4773 0.6983
N: 0.7381 0.4761 0.7142
N: 0.2789 0.0402 0.3016